A relaxed CoCuPb2 crystal, computed with PBE-GGA.

Values from the calculation:
Density ... 10.61 g cm⁻³
ΔE_f ... 0.751 eV per atom
V ... 20.997 Å³/atom
Space-group type ... F-43m, No. 216

a = 4.916 Å, b = 4.916 Å, c = 4.916 Å
α = 60.00°, β = 60.00°, γ = 60.00°
Each line ends with the local moment (μB).
Fractional coordinates of all 4 atoms:
Pb 0.750 0.750 0.750  -0.06
Co 0.500 0.500 0.500  1.25
Cu 0.250 0.250 0.250  -0.01
Pb 0.000 0.000 0.000  -0.04

A relaxed Rb2Ta2PbO7 crystal, computed with PBE-GGA.

Values from the calculation:
Density ... 7.52 g cm⁻³
V ... 15.677 Å³/atom
Space-group type ... I4/mmm, No. 139
Raw formation energy ... -2358 meV per atom

a = 4.046 Å, b = 4.046 Å, c = 11.843 Å
α = 80.17°, β = 80.17°, γ = 90.00°
Fractional coordinates of all 12 atoms:
O 0.674 0.674 0.651
Ta 0.407 0.407 0.186
O 0.914 0.414 0.172
O 0.326 0.326 0.349
Rb 0.192 0.192 0.616
Rb 0.808 0.808 0.384
O 0.500 0.500 0.000
Ta 0.593 0.593 0.814
O 0.086 0.586 0.828
O 0.414 0.914 0.172
O 0.586 0.086 0.828
Pb 0.000 0.000 0.000